w:
# Sr2IO6 | the Alexandria database | GGA-PBE | relaxed
# space group	P4/mnc (128)
# calculated volume	141	Å³/f.u.
data_Sr2IO6
_chemical_formula_sum 'Sr4 I2 O12'
_cell_length_a 5.7159
_cell_length_b 5.7159
_cell_length_c 8.6023
_cell_angle_alpha 90.00
_cell_angle_beta 90.00
_cell_angle_gamma 90.00
_space_group_name_H-M_alt 'P 1'
_space_group_IT_number 1
_space_group_name_Hall 'P 1'
loop_
_atom_site_label
_atom_site_type_symbol
_atom_site_fract_x
_atom_site_fract_y
_atom_site_fract_z
_atom_site_occupancy
O1 O 0.3459 0.2075 0.5000 1
O2 O 0.6541 0.7925 0.5000 1
O3 O 0.0000 0.0000 0.2210 1
O4 O 0.7075 0.8459 0.0000 1
O5 O 0.0000 0.0000 0.7790 1
O6 O 0.7925 0.3459 0.5000 1
O7 O 0.2925 0.1541 0.0000 1
I1 I 0.5000 0.5000 0.5000 1
O8 O 0.1541 0.7075 0.0000 1
O9 O 0.5000 0.5000 0.7210 1
Sr1 Sr 0.5000 0.0000 0.2500 1
O10 O 0.2075 0.6541 0.5000 1
Sr2 Sr 0.0000 0.5000 0.7500 1
Sr3 Sr 0.5000 0.0000 0.7500 1
O11 O 0.8459 0.2925 0.0000 1
Sr4 Sr 0.0000 0.5000 0.2500 1
I2 I 0.0000 0.0000 0.0000 1
O12 O 0.5000 0.5000 0.2790 1

***

x:
# Sr2IO6 | the Alexandria database | GGA-PBE | relaxed
# space group	Immm (71)
# calculated volume	128	Å³/f.u.
data_Sr2IO6
_chemical_formula_sum 'Sr2 I1 O6'
_cell_length_a 3.8952
_cell_length_b 5.8621
_cell_length_c 6.6206
_cell_angle_alpha 116.28
_cell_angle_beta 107.06
_cell_angle_gamma 90.00
_space_group_name_H-M_alt 'P 1'
_space_group_IT_number 1
_space_group_name_Hall 'P 1'
loop_
_atom_site_label
_atom_site_type_symbol
_atom_site_fract_x
_atom_site_fract_y
_atom_site_fract_z
_atom_site_occupancy
O1 O 0.8665 0.0841 0.7322 1
O2 O 0.5000 0.1958 0.0000 1
O3 O 0.1335 0.3519 0.2678 1
O4 O 0.5000 0.8042 0.0000 1
Sr1 Sr 0.6645 0.6649 0.3298 1
O5 O 0.1335 0.9159 0.2678 1
O6 O 0.8665 0.6481 0.7322 1
Sr2 Sr 0.3355 0.3351 0.6702 1
I1 I 0.0000 0.0000 0.0000 1

***

w has the most favorable energy; the next structure is 334 meV per atom above.

***

w:
# Sr2IO | the Alexandria database | GGA-PBE | relaxed
# space group	I-42d (122)
# calculated volume	139	Å³/f.u.
data_Sr2IO
_chemical_formula_sum 'Sr4 I2 O2'
_cell_length_a 6.9670
_cell_length_b 6.9670
_cell_length_c 7.5572
_cell_angle_alpha 62.55
_cell_angle_beta 62.55
_cell_angle_gamma 90.00
_space_group_name_H-M_alt 'P 1'
_space_group_IT_number 1
_space_group_name_Hall 'P 1'
loop_
_atom_site_label
_atom_site_type_symbol
_atom_site_fract_x
_atom_site_fract_y
_atom_site_fract_z
_atom_site_occupancy
O1 O 0.2500 0.7500 0.5000 1
Sr1 Sr 0.5072 0.1250 0.2500 1
I1 I 0.7500 0.2500 0.5000 1
Sr2 Sr 0.8750 0.7572 0.7500 1
O2 O 0.5000 0.5000 0.0000 1
I2 I 0.0000 0.0000 0.0000 1
Sr3 Sr 0.3750 0.4928 0.7500 1
Sr4 Sr 0.2428 0.6250 0.2500 1

***

x:
# Sr2IO | the Alexandria database | GGA-PBE | relaxed
# space group	Fm-3m (225)
# calculated volume	105	Å³/f.u.
data_Sr2IO
_chemical_formula_sum 'Sr2 I1 O1'
_cell_length_a 5.2951
_cell_length_b 5.2951
_cell_length_c 5.2951
_cell_angle_alpha 60.00
_cell_angle_beta 60.00
_cell_angle_gamma 60.00
_space_group_name_H-M_alt 'P 1'
_space_group_IT_number 1
_space_group_name_Hall 'P 1'
loop_
_atom_site_label
_atom_site_type_symbol
_atom_site_fract_x
_atom_site_fract_y
_atom_site_fract_z
_atom_site_occupancy
I1 I 0.5000 0.5000 0.5000 1
Sr1 Sr 0.7500 0.7500 0.7500 1
Sr2 Sr 0.2500 0.2500 0.2500 1
O1 O 0.0000 0.0000 0.0000 1

***

y:
# Sr2IO | the Alexandria database | GGA-PBE | relaxed
# space group	P2_1/c (14)
# calculated volume	134	Å³/f.u.
data_Sr2IO
_chemical_formula_sum 'Sr8 I4 O4'
_cell_length_a 7.9955
_cell_length_b 7.4164
_cell_length_c 9.0623
_cell_angle_alpha 90.00
_cell_angle_beta 89.57
_cell_angle_gamma 90.00
_space_group_name_H-M_alt 'P 1'
_space_group_IT_number 1
_space_group_name_Hall 'P 1'
loop_
_atom_site_label
_atom_site_type_symbol
_atom_site_fract_x
_atom_site_fract_y
_atom_site_fract_z
_atom_site_occupancy
I1 I 0.7468 0.1188 0.1065 1
Sr1 Sr 0.9985 0.2465 0.7921 1
I2 I 0.2532 0.8812 0.8935 1
Sr2 Sr 0.7481 0.8744 0.5648 1
Sr3 Sr 0.7519 0.3744 0.4352 1
Sr4 Sr 0.2481 0.6256 0.5648 1
Sr5 Sr 0.5015 0.7465 0.2079 1
O1 O 0.2485 0.3191 0.6557 1
Sr6 Sr 0.4985 0.2535 0.7921 1
Sr7 Sr 0.0015 0.7535 0.2079 1
O2 O 0.2515 0.8191 0.3443 1
I3 I 0.7532 0.6188 0.8935 1
I4 I 0.2468 0.3812 0.1065 1
Sr8 Sr 0.2519 0.1256 0.4352 1
O3 O 0.7485 0.1809 0.6557 1
O4 O 0.7515 0.6809 0.3443 1

***

z:
# Sr2IO | the Alexandria database | GGA-PBE | relaxed
# space group	R-3m (166)
# calculated volume	108	Å³/f.u.
data_Sr2IO
_chemical_formula_sum 'Sr2 I1 O1'
_cell_length_a 3.9973
_cell_length_b 3.9973
_cell_length_c 8.1482
_cell_angle_alpha 75.80
_cell_angle_beta 75.80
_cell_angle_gamma 60.00
_space_group_name_H-M_alt 'P 1'
_space_group_IT_number 1
_space_group_name_Hall 'P 1'
loop_
_atom_site_label
_atom_site_type_symbol
_atom_site_fract_x
_atom_site_fract_y
_atom_site_fract_z
_atom_site_occupancy
O1 O 0.0000 0.0000 0.0000 1
Sr1 Sr 0.7243 0.7243 0.8270 1
Sr2 Sr 0.2757 0.2757 0.1730 1
I1 I 0.5000 0.5000 0.5000 1

***

y has the most favorable energy; the next structure is 107 meV per atom above.